## w
# Mn6O7F5 GGA-PBEsol relaxed
# Fermi-level density of states: 4.48 states/eV/cell
data_Mn6O7F5
_chemical_formula_sum 'Mn12 O14 F10'
_symmetry_space_group_name_H-M 'C 1 m 1'
_symmetry_Int_Tables_number 8
_cell_length_a 9.074
_cell_length_b 6.147
_cell_length_c 7.789
_cell_angle_alpha 90.00
_cell_angle_beta 117.68
_cell_angle_gamma 90.00
loop_
_symmetry_equiv_pos_as_xyz
'x,y,z'
'x,-y,z'
'x+1/2,y+1/2,z'
'x+1/2,-y+1/2,z'
loop_
_atom_site_label
_atom_site_type_symbol
_atom_site_fract_x
_atom_site_fract_y
_atom_site_fract_z
Mn1 Mn 0.000 0.000 0.000
Mn2 Mn 0.007 0.000 0.492
Mn3 Mn 0.178 0.500 0.674
Mn4 Mn 0.186 0.500 0.139
Mn5 Mn 0.339 0.000 0.834
Mn6 Mn 0.348 0.000 0.324
O1 O 0.008 0.305 0.999
O2 O 0.175 0.197 0.658
O3 O 0.275 0.500 0.940
O4 O 0.346 0.301 0.317
F1 F 0.076 0.500 0.382
F2 F 0.130 0.000 0.304
F3 F 0.222 0.000 0.019
F4 F 0.389 0.500 0.679
F5 F 0.456 0.000 0.639



## x
# Mn6O7F5 GGA-PBEsol relaxed
# Fermi-level density of states: 4.87 states/eV/cell
data_Mn6O7F5
_chemical_formula_sum 'Mn6 O7 F5'
_symmetry_space_group_name_H-M 'P 1 m 1'
_symmetry_Int_Tables_number 6
_cell_length_a 4.600
_cell_length_b 8.950
_cell_length_c 4.601
_cell_angle_alpha 90.00
_cell_angle_beta 94.11
_cell_angle_gamma 90.00
loop_
_symmetry_equiv_pos_as_xyz
'x,y,z'
'x,-y,z'
loop_
_atom_site_label
_atom_site_type_symbol
_atom_site_fract_x
_atom_site_fract_y
_atom_site_fract_z
Mn1 Mn 0.000 0.000 0.000
Mn2 Mn 0.028 0.325 0.029
Mn3 Mn 0.498 0.175 0.565
Mn4 Mn 0.525 0.500 0.531
O1 O 0.195 0.160 0.846
O2 O 0.321 0.333 0.344
O3 O 0.688 0.000 0.730
O4 O 0.713 0.334 0.736
F1 F 0.220 0.500 0.838
F2 F 0.295 0.000 0.340
F3 F 0.803 0.155 0.235
F4 F 0.839 0.500 0.219



Stability comparison, relative energies in eV/atom: w 0.000; x 0.007



## w
# Mn6OF11 GGA-PBEsol relaxed
# Fermi-level density of states: 6.69 states/eV/cell
data_Mn6OF11
_chemical_formula_sum 'Mn12 O2 F22'
_symmetry_space_group_name_H-M 'P -1'
_symmetry_Int_Tables_number 2
_cell_length_a 4.865
_cell_length_b 5.742
_cell_length_c 15.840
_cell_angle_alpha 90.02
_cell_angle_beta 90.28
_cell_angle_gamma 90.90
loop_
_symmetry_equiv_pos_as_xyz
'x,y,z'
'-x,-y,-z'
loop_
_atom_site_label
_atom_site_type_symbol
_atom_site_fract_x
_atom_site_fract_y
_atom_site_fract_z
Mn1 Mn 0.002 0.341 0.253
Mn2 Mn 0.006 0.328 0.916
Mn3 Mn 0.015 0.661 0.410
Mn4 Mn 0.474 0.803 0.257
Mn5 Mn 0.481 0.170 0.417
Mn6 Mn 0.492 0.833 0.912
O1 O 0.205 0.584 0.304
F1 F 0.212 0.379 0.141
F2 F 0.220 0.387 0.481
F3 F 0.235 0.606 0.975
F4 F 0.243 0.622 0.643
F5 F 0.249 0.092 0.307
F6 F 0.250 0.403 0.810
F7 F 0.261 0.894 0.799
F8 F 0.267 0.888 0.475
F9 F 0.270 0.101 0.975
F10 F 0.279 0.886 0.142
F11 F 0.289 0.119 0.637



## x
# Mn6OF11 GGA-PBEsol relaxed
# Fermi-level density of states: 7.34 states/eV/cell
data_Mn6OF11
_chemical_formula_sum 'Mn12 O2 F22'
_symmetry_space_group_name_H-M 'C 1 2 1'
_symmetry_Int_Tables_number 5
_cell_length_a 9.446
_cell_length_b 6.716
_cell_length_c 7.600
_cell_angle_alpha 90.00
_cell_angle_beta 110.95
_cell_angle_gamma 90.00
loop_
_symmetry_equiv_pos_as_xyz
'x,y,z'
'-x,y,-z'
'x+1/2,y+1/2,z'
'-x+1/2,y+1/2,-z'
loop_
_atom_site_label
_atom_site_type_symbol
_atom_site_fract_x
_atom_site_fract_y
_atom_site_fract_z
Mn1 Mn 0.000 0.000 0.000
Mn2 Mn 0.000 0.029 0.500
Mn3 Mn 0.156 0.538 0.156
Mn4 Mn 0.167 0.534 0.669
O1 O 0.000 0.717 0.000
F1 F 0.000 0.306 0.000
F2 F 0.066 0.535 0.371
F3 F 0.100 0.023 0.297
F4 F 0.167 0.227 0.666
F5 F 0.179 0.842 0.676
F6 F 0.229 0.020 0.032



Stability comparison, relative energies in eV/atom: w 0.008; x 0.000



## w
# Mn6OF11 GGA-PBEsol relaxed
# Fermi-level density of states: 8.48 states/eV/cell
data_Mn6OF11
_chemical_formula_sum 'Mn12 O2 F22'
_symmetry_space_group_name_H-M 'A m m 2'
_symmetry_Int_Tables_number 38
_cell_length_a 9.771
_cell_length_b 6.864
_cell_length_c 6.719
_cell_angle_alpha 90.00
_cell_angle_beta 90.00
_cell_angle_gamma 90.00
loop_
_symmetry_equiv_pos_as_xyz
'x,y,z'
'-x,-y,z'
'-x,y,z'
'x,-y,z'
'x,y+1/2,z+1/2'
'-x,-y+1/2,z+1/2'
'-x,y+1/2,z+1/2'
'x,-y+1/2,z+1/2'
loop_
_atom_site_label
_atom_site_type_symbol
_atom_site_fract_x
_atom_site_fract_y
_atom_site_fract_z
Mn1 Mn 0.000 0.000 0.000
Mn2 Mn 0.155 0.000 0.537
Mn3 Mn 0.331 0.000 0.033
Mn4 Mn 0.500 0.000 0.529
O1 O 0.000 0.000 0.718
F1 F 0.000 0.000 0.305
F2 F 0.165 0.197 0.021
F3 F 0.324 0.000 0.342
F4 F 0.333 0.000 0.726
F5 F 0.500 0.194 0.037



## x
# Mn6OF11 GGA-PBEsol relaxed
# Fermi-level density of states: 6.87 states/eV/cell
data_Mn6OF11
_chemical_formula_sum 'Mn12 O2 F22'
_symmetry_space_group_name_H-M 'P 1 21 1'
_symmetry_Int_Tables_number 4
_cell_length_a 4.855
_cell_length_b 15.861
_cell_length_c 5.747
_cell_angle_alpha 90.00
_cell_angle_beta 91.07
_cell_angle_gamma 90.00
loop_
_symmetry_equiv_pos_as_xyz
'x,y,z'
'-x,y+1/2,-z'
loop_
_atom_site_label
_atom_site_type_symbol
_atom_site_fract_x
_atom_site_fract_y
_atom_site_fract_z
Mn1 Mn 0.224 0.000 0.056
Mn2 Mn 0.232 0.161 0.418
Mn3 Mn 0.233 0.654 0.085
Mn4 Mn 0.248 0.496 0.406
Mn5 Mn 0.258 0.831 0.416
Mn6 Mn 0.260 0.326 0.077
O1 O 0.045 0.545 0.165
F1 F 0.002 0.551 0.659
F2 F 0.006 0.221 0.147
F3 F 0.020 0.722 0.354
F4 F 0.027 0.885 0.135
F5 F 0.040 0.385 0.373
F6 F 0.452 0.107 0.125
F7 F 0.475 0.765 0.145
F8 F 0.479 0.269 0.360
F9 F 0.488 0.600 0.377
F10 F 0.488 0.945 0.355
F11 F 0.497 0.933 0.848



Stability comparison, relative energies in eV/atom: w 0.000; x 0.007



## w
# Mn2O3F GGA-PBEsol relaxed
# Fermi-level density of states: 4.59 states/eV/cell
data_Mn2O3F
_chemical_formula_sum 'Mn8 O12 F4'
_symmetry_space_group_name_H-M 'P 1 21/c 1'
_symmetry_Int_Tables_number 14
_cell_length_a 5.376
_cell_length_b 4.486
_cell_length_c 9.881
_cell_angle_alpha 90.00
_cell_angle_beta 96.38
_cell_angle_gamma 90.00
loop_
_symmetry_equiv_pos_as_xyz
'x,y,z'
'-x,-y,-z'
'-x,y+1/2,-z+1/2'
'x,-y+1/2,z+1/2'
loop_
_atom_site_label
_atom_site_type_symbol
_atom_site_fract_x
_atom_site_fract_y
_atom_site_fract_z
Mn1 Mn 0.000 0.000 0.000
Mn2 Mn 0.245 0.019 0.739
Mn3 Mn 0.500 0.000 0.500
O1 O 0.017 0.697 0.675
O2 O 0.226 0.195 0.571
O3 O 0.485 0.196 0.329
F1 F 0.284 0.695 0.416



## x
# Mn2O3F GGA-PBEsol relaxed
# Fermi-level density of states: 10.13 states/eV/cell
data_Mn2O3F
_chemical_formula_sum 'Mn16 O24 F8'
_symmetry_space_group_name_H-M 'C m c m'
_symmetry_Int_Tables_number 63
_symmetry_space_group_name_Hall '-C 2c 2'
_cell_length_a 6.200
_cell_length_b 6.516
_cell_length_c 11.735
_cell_angle_alpha 90.00
_cell_angle_beta 90.00
_cell_angle_gamma 90.00
loop_
_atom_site_label
_atom_site_type_symbol
_atom_site_fract_x
_atom_site_fract_y
_atom_site_fract_z
Mn1 Mn 0.000 0.000 0.000
Mn2 Mn 0.000 0.011 0.250
Mn3 Mn 0.000 0.476 0.125
O1 O 0.000 0.187 0.125
O2 O 0.194 0.500 0.000
O3 O 0.196 0.486 0.250
F1 F 0.000 0.213 0.631



## y
# Mn2O3F GGA-PBEsol relaxed
# Fermi-level density of states: 8.32 states/eV/cell
data_Mn2O3F
_chemical_formula_sum 'Mn16 O24 F8'
_symmetry_space_group_name_H-M 'C m m m'
_symmetry_Int_Tables_number 65
_symmetry_space_group_name_Hall '-C 2 2'
_cell_length_a 5.864
_cell_length_b 13.053
_cell_length_c 6.215
_cell_angle_alpha 90.00
_cell_angle_beta 90.00
_cell_angle_gamma 90.00
loop_
_atom_site_label
_atom_site_type_symbol
_atom_site_fract_x
_atom_site_fract_y
_atom_site_fract_z
Mn1 Mn 0.000 0.000 0.000
Mn2 Mn 0.000 0.241 0.500
Mn3 Mn 0.000 0.500 0.000
Mn4 Mn 0.238 0.000 0.500
Mn5 Mn 0.250 0.250 0.000
O1 O 0.000 0.095 0.500
O2 O 0.000 0.345 0.000
O3 O 0.249 0.000 0.196
O4 O 0.250 0.250 0.306
F1 F 0.000 0.145 0.000
F2 F 0.000 0.402 0.500



Stability comparison, relative energies in eV/atom: w 0.028; x 0.000; y 0.020



## w
# Mn2O3F GGA-PBEsol relaxed
# Fermi-level density of states: 10.77 states/eV/cell
data_Mn2O3F
_chemical_formula_sum 'Mn16 O24 F8'
_symmetry_space_group_name_H-M 'C 1 2/m 1'
_symmetry_Int_Tables_number 12
_cell_length_a 8.676
_cell_length_b 6.352
_cell_length_c 8.636
_cell_angle_alpha 90.00
_cell_angle_beta 94.12
_cell_angle_gamma 90.00
loop_
_symmetry_equiv_pos_as_xyz
'x,y,z'
'-x,-y,-z'
'-x,y,-z'
'x,-y,z'
'x+1/2,y+1/2,z'
'-x+1/2,-y+1/2,-z'
'-x+1/2,y+1/2,-z'
'x+1/2,-y+1/2,z'
loop_
_atom_site_label
_atom_site_type_symbol
_atom_site_fract_x
_atom_site_fract_y
_atom_site_fract_z
Mn1 Mn 0.000 0.000 0.000
Mn2 Mn 0.000 0.500 0.500
Mn3 Mn 0.106 0.000 0.632
Mn4 Mn 0.139 0.500 0.142
Mn5 Mn 0.242 0.500 0.763
O1 O 0.000 0.195 0.500
O2 O 0.025 0.500 0.721
O3 O 0.036 0.000 0.219
O4 O 0.223 0.000 0.020
O5 O 0.242 0.195 0.745
F1 F 0.000 0.314 0.000
F2 F 0.236 0.500 0.528



## x
# Mn2O3F GGA-PBEsol relaxed
# Fermi-level density of states: 4.26 states/eV/cell
data_Mn2O3F
_chemical_formula_sum 'Mn8 O12 F4'
_symmetry_space_group_name_H-M 'P 1'
_symmetry_Int_Tables_number 1
_cell_length_a 4.493
_cell_length_b 5.883
_cell_length_c 9.449
_cell_angle_alpha 71.90
_cell_angle_beta 88.77
_cell_angle_gamma 89.97
loop_
_symmetry_equiv_pos_as_xyz
'x,y,z'
loop_
_atom_site_label
_atom_site_type_symbol
_atom_site_fract_x
_atom_site_fract_y
_atom_site_fract_z
Mn1 Mn 0.000 0.000 0.000
Mn2 Mn 0.008 0.509 0.996
Mn3 Mn 0.466 0.888 0.736
Mn4 Mn 0.507 0.626 0.243
Mn5 Mn 0.518 0.369 0.762
Mn6 Mn 0.529 0.136 0.253
Mn7 Mn 0.964 0.753 0.504
Mn8 Mn 0.987 0.255 0.493
O1 O 0.179 0.957 0.591
O2 O 0.194 0.706 0.094
O3 O 0.298 0.081 0.845
O4 O 0.301 0.582 0.843
O5 O 0.310 0.332 0.345
O6 O 0.680 0.675 0.653
O7 O 0.685 0.180 0.651
O8 O 0.694 0.927 0.155
O9 O 0.702 0.429 0.151
O10 O 0.803 0.053 0.401
O11 O 0.804 0.555 0.401
O12 O 0.808 0.299 0.908
F1 F 0.196 0.452 0.602
F2 F 0.214 0.198 0.107
F3 F 0.299 0.826 0.352
F4 F 0.778 0.808 0.890



## y
# Mn2O3F GGA-PBEsol relaxed
# Fermi-level density of states: 7.52 states/eV/cell
data_Mn2O3F
_chemical_formula_sum 'Mn16 O24 F8'
_symmetry_space_group_name_H-M 'C 1 2 1'
_symmetry_Int_Tables_number 5
_cell_length_a 8.526
_cell_length_b 6.527
_cell_length_c 8.543
_cell_angle_alpha 90.00
_cell_angle_beta 93.12
_cell_angle_gamma 90.00
loop_
_symmetry_equiv_pos_as_xyz
'x,y,z'
'-x,y,-z'
'x+1/2,y+1/2,z'
'-x+1/2,y+1/2,-z'
loop_
_atom_site_label
_atom_site_type_symbol
_atom_site_fract_x
_atom_site_fract_y
_atom_site_fract_z
Mn1 Mn 0.000 0.000 0.000
Mn2 Mn 0.000 0.454 0.500
Mn3 Mn 0.125 0.470 0.125
Mn4 Mn 0.125 0.989 0.626
Mn5 Mn 0.250 0.450 0.749
O1 O 0.000 0.165 0.500
O2 O 0.000 0.285 0.000
O3 O 0.027 0.973 0.222
O4 O 0.028 0.465 0.721
O5 O 0.223 0.462 0.526
O6 O 0.223 0.976 0.029
O7 O 0.248 0.661 0.250
F1 F 0.000 0.692 0.000
F2 F 0.000 0.774 0.500
F3 F 0.242 0.760 0.744



Stability comparison, relative energies in eV/atom: w 0.007; x 0.012; y 0.000